Entry 1:
Material: IBrO
Method: DFT, PBE-GGA
State: optimized geometry

Properties
- total DFT energy (no corrections) (eV/atom) = -2.760
- polymorph energy (0 for the lowest one) (meV/atom) = 29
- formation energy from raw total energies (meV per atom) = -32.9
- M_tot (μB per atom) = 0.000
- space group = No. 1
- calculated volume (Å³/cell) = 209.27

POSCAR file:
```
IBrO
1.0
5.5684 0.0000 0.0000
-2.1138 6.1679 0.0000
-2.1561 -1.5221 6.0930
I Br O
2 2 2
direct
0.0000 0.0000 0.0000
0.2215 0.5563 0.1951
0.7016 0.3361 0.8855
0.7434 0.7640 0.4886
0.1551 0.2321 0.2718
0.2588 0.8551 0.0661
```



Entry 2:
Material: OsI2BrO
Method: DFT, PBE-GGA
State: optimized geometry

Properties
- total DFT energy (no corrections) (eV/atom) = -4.094
- density of states at the Fermi level (states/eV per atom) = 0.8617
- polymorph energy (0 for the lowest one) (meV/atom) = 0
- formation energy from raw total energies (meV per atom) = 98.3
- M_tot (μB per atom) = 0.000
- space group = No. 123
- calculated volume (Å³/cell) = 119.56

POSCAR file:
```
OsI2BrO
1.0
5.6444 0.0000 0.0000
0.0000 5.6444 0.0000
0.0000 0.0000 3.7527
Os I Br O
1 2 1 1
direct
0.0000 0.0000 0.0000
0.0000 0.5000 0.0000
0.5000 0.0000 0.0000
0.5000 0.5000 0.5000
0.0000 0.0000 0.5000
```



Entry 3:
Material: OsIBrO2
Method: DFT, PBE-GGA
State: optimized geometry

Properties
- total DFT energy (no corrections) (eV/atom) = -4.936
- density of states at the Fermi level (states/eV per atom) = 0.9738
- polymorph energy (0 for the lowest one) (meV/atom) = 0
- formation energy from raw total energies (meV per atom) = -61.9
- M_tot (μB per atom) = 0.107
- space group = No. 123
- calculated volume (Å³/cell) = 94.04

POSCAR file:
```
OsIBrO2
1.0
3.9321 0.0000 0.0000
0.0000 3.9321 0.0000
0.0000 0.0000 6.0824
Os I Br O
1 1 1 2
direct
0.0000 0.0000 0.0000
0.0000 0.0000 0.5000
0.5000 0.5000 0.5000
0.0000 0.5000 0.0000
0.5000 0.0000 0.0000
```



Entry 4:
Material: OsIBrO2
Method: DFT, PBE-GGA
State: optimized geometry

Properties
- total DFT energy (no corrections) (eV/atom) = -3.551
- density of states at the Fermi level (states/eV per atom) = 0.7312
- polymorph energy (0 for the lowest one) (meV/atom) = 1385
- formation energy from raw total energies (meV per atom) = 1322.6
- M_tot (μB per atom) = 0.310
- space group = No. 123
- calculated volume (Å³/cell) = 106.50

POSCAR file:
```
OsIBrO2
1.0
3.8461 0.0000 0.0000
0.0000 3.8461 0.0000
0.0000 0.0000 7.1997
Os I Br O
1 1 1 2
direct
0.0000 0.0000 0.0000
0.5000 0.5000 0.0000
0.5000 0.5000 0.5000
0.0000 0.5000 0.5000
0.5000 0.0000 0.5000
```



Entry 5:
Material: OsI2BrO
Method: DFT, PBE-GGA
State: optimized geometry

Properties
- total DFT energy (no corrections) (eV/atom) = -2.567
- density of states at the Fermi level (states/eV per atom) = 0.9274
- polymorph energy (0 for the lowest one) (meV/atom) = 1527
- formation energy from raw total energies (meV per atom) = 1625.5
- M_tot (μB per atom) = 0.682
- space group = No. 123
- calculated volume (Å³/cell) = 131.97

POSCAR file:
```
OsI2BrO
1.0
5.9269 0.0000 0.0000
0.0000 5.9269 0.0000
0.0000 0.0000 3.7567
Os I Br O
1 2 1 1
direct
0.0000 0.0000 0.0000
0.0000 0.5000 0.5000
0.5000 0.0000 0.5000
0.5000 0.5000 0.5000
0.5000 0.5000 0.0000
```



Entry 6:
Material: P2IBrO
Method: DFT, PBE-GGA
State: optimized geometry

Properties
- total DFT energy (no corrections) (eV/atom) = -2.653
- density of states at the Fermi level (states/eV per atom) = 1.1022
- polymorph energy (0 for the lowest one) (meV/atom) = 102
- formation energy from raw total energies (meV per atom) = 1147.0
- M_tot (μB per atom) = 0.001
- space group = No. 123
- calculated volume (Å³/cell) = 102.76

POSCAR file:
```
P2IBrO
1.0
5.0477 0.0000 0.0000
0.0000 5.0477 0.0000
0.0000 0.0000 4.0331
P I Br O
2 1 1 1
direct
0.0000 0.5000 0.0000
0.5000 0.0000 0.0000
0.0000 0.0000 0.5000
0.5000 0.5000 0.0000
0.5000 0.5000 0.5000
```